Material: K2AgRh
Method: DFT, PBE-GGA
State: relaxed

Cell: 6.367 10.270 3.062 Å, 90.00 90.00 90.00°
Space group Cmmm (No. 65)
One atom of each set of equivalent atoms:
1 K 0.250 0.250 0.000
2 Ag 0.000 0.000 0.500
3 Rh 0.000 0.500 0.500

Calculated values
Excess energy over the best structure of this formula in the dataset ... 0.198 eV per atom
Electronic total energy ... -2.527 eV per atom
Size of the total moment ... 0.553 μB/f.u.
Calculated density ... 4.8 g/cm3
Formation enthalpy at 0 K ... 0.57 eV per atom